[1]
Below is a crystal of K2AsSe relaxed with PBEsol, with properties calculated at the SCAN level.

a b c (Å): 4.5095 4.5095 5.8519
angles (deg): 112.66 112.66 90.00
Positions (direct):
1 As 0.5000 0.5000 0.0000
2 K 0.7500 0.2500 0.5000
3 K 0.2500 0.7500 0.5000
4 Se 0.0000 0.0000 0.0000

Calculated values
energy relative to the lowest polymorph listed for this composition	2.6	kJ/mol of atoms
total magnetic moment	0.00	μB/cell
E	-14.752	eV per atom
space-group type	I4/mmm
formation energy (no corrections)	-2.1	eV per formula unit

---

[2]
Below is a crystal of K3AsSe3 relaxed with PBEsol, with properties calculated at the SCAN level.

a b c (Å): 9.6595 9.6595 9.6595
angles (deg): 90.00 90.00 90.00
Positions (direct):
1 As 0.0247 0.0247 0.0247
2 As 0.4753 0.9753 0.5247
3 As 0.9753 0.5247 0.4753
4 As 0.5247 0.4753 0.9753
5 K 0.3173 0.3173 0.3173
6 K 0.1827 0.6827 0.8173
7 K 0.6827 0.8173 0.1827
8 K 0.8173 0.1827 0.6827
9 K 0.5771 0.5771 0.5771
10 K 0.9229 0.4229 0.0771
11 K 0.4229 0.0771 0.9229
12 K 0.0771 0.9229 0.4229
13 K 0.8143 0.8143 0.8143
14 K 0.6857 0.1857 0.3143
15 K 0.1857 0.3143 0.6857
16 K 0.3143 0.6857 0.1857
17 Se 0.2124 0.6015 0.4944
18 Se 0.2876 0.3985 0.9944
19 Se 0.7876 0.1015 0.0056
20 Se 0.7124 0.8985 0.5056
21 Se 0.4944 0.2124 0.6015
22 Se 0.9944 0.2876 0.3985
23 Se 0.0056 0.7876 0.1015
24 Se 0.5056 0.7124 0.8985
25 Se 0.6015 0.4944 0.2124
26 Se 0.3985 0.9944 0.2876
27 Se 0.1015 0.0056 0.7876
28 Se 0.8985 0.5056 0.7124

Calculated values
total magnetic moment	0.00	μB/cell
E	-16.130	eV per atom
space-group type	P2_13
formation energy (no corrections)	-7.5	eV per formula unit

---

[3]
Below is a crystal of K3Ta2AsSe11 relaxed with PBEsol, with properties calculated at the SCAN level.

a b c (Å): 9.7693 9.8431 9.8431
angles (deg): 97.76 97.07 82.93
Positions (direct):
1 K 0.0864 0.3343 0.8040
2 K 0.8444 0.5658 0.2689
3 K 0.5864 0.1960 0.6657
4 K 0.7436 0.0950 0.0520
5 K 0.3444 0.7311 0.4342
6 K 0.2436 0.9480 0.9050
7 Ta 0.1658 0.1817 0.4140
8 Ta 0.3557 0.2920 0.1632
9 Ta 0.6658 0.5860 0.8183
10 Ta 0.8557 0.8368 0.7080
11 As 0.8905 0.9617 0.3617
12 As 0.3905 0.6383 0.0383
13 Se 0.0156 0.8029 0.5084
14 Se 0.5675 0.1807 0.3163
15 Se 0.3406 0.3644 0.4460
16 Se 0.9149 0.0616 0.7885
17 Se 0.4149 0.2115 0.9384
18 Se 0.4055 0.5430 0.8022
19 Se 0.7524 0.3974 0.9400
20 Se 0.3693 0.0528 0.2620
21 Se 0.8693 0.7380 0.9472
22 Se 0.0675 0.6837 0.8193
23 Se 0.9055 0.1978 0.4570
24 Se 0.1105 0.4396 0.5004
25 Se 0.5826 0.7769 0.0204
26 Se 0.0826 0.9796 0.2231
27 Se 0.5909 0.8537 0.7350
28 Se 0.6619 0.8663 0.5084
29 Se 0.8406 0.5540 0.6356
30 Se 0.1619 0.4916 0.1337
31 Se 0.5156 0.4916 0.1971
32 Se 0.2524 0.0600 0.6026
33 Se 0.0909 0.2650 0.1463
34 Se 0.6105 0.4996 0.5604

Calculated values
total magnetic moment	0.00	μB/cell
E	-24.305	eV per atom
space-group type	Cc
formation energy (no corrections)	-14.0	eV per formula unit